(1)
! Ta2ReB6 (PBE, optimized geometry); values from VASP
! - D(E_F) (states/eV per atom) = 0.367
! - spin magnetization (μB/f.u.) = 0.000
! - SG = P6/mmm, No. 191
! - DFT formation energy (eV per atom) = -0.3763
! - mass density (g/cm3) = 12.418
&SYSTEM
  ibrav = 0, nat = 9, ntyp = 3
/
ATOMIC_SPECIES
Ta 180.95 Ta.upf
Re 186.21 Re.upf
B 10.81 B.upf
CELL_PARAMETERS angstrom
5.277 0.000 0.000
-2.638 4.570 0.000
0.000 0.000 3.399
ATOMIC_POSITIONS crystal
Ta 0.333 0.667 0.000
Ta 0.667 0.333 0.000
Re 0.000 0.000 0.000
B 0.000 0.331 0.500
B 0.000 0.669 0.500
B 0.331 0.000 0.500
B 0.331 0.331 0.500
B 0.669 0.000 0.500
B 0.669 0.669 0.500

=====

(2)
! TaReB2 (PBE, optimized geometry); values from VASP
! - polymorph energy (0 for the lowest one) (eV per atom) = 0.945
! - D(E_F) (states/eV per atom) = 0.854
! - spin magnetization (μB/f.u.) = 0.000
! - SG = I-42d, No. 122
! - DFT formation energy (eV per atom) = 0.6664
! - mass density (g/cm3) = 11.099
&SYSTEM
  ibrav = 0, nat = 8, ntyp = 3
/
ATOMIC_SPECIES
Ta 180.95 Ta.upf
Re 186.21 Re.upf
B 10.81 B.upf
CELL_PARAMETERS angstrom
-2.403 2.403 5.036
2.403 -2.403 5.036
2.403 2.403 -5.036
ATOMIC_POSITIONS crystal
Ta 0.000 0.000 0.000
Ta 0.750 0.250 0.500
Re 0.250 0.750 0.500
Re 0.500 0.500 0.000
B 0.155 0.625 0.030
B 0.375 0.405 0.530
B 0.595 0.125 0.970
B 0.875 0.845 0.470